# 1
This record from Alexandria via LeMat-Bulk describes crystalline KInPb3 at its relaxed geometry. The functional is GGA-PBE.

Summary:
As for the crystal system: cubic. As for the calculated formation energy: 0.841 eV per atom. The calculation puts the calculated total energy at -10.8 eV per formula unit. Its density of states at the Fermi level is 3.2 states/eV/cell.

abc: 6.001 6.001 6.001
angles: 90.00 90.00 90.00
Positions (direct):
1 Pb 0.500 0.000 0.000
2 Pb 0.000 0.500 0.000
3 Pb 0.000 0.000 0.500
4 K 0.000 0.000 0.000
5 In 0.500 0.500 0.500

=====

# 2
This record from Alexandria via LeMat-Bulk describes crystalline SrVGa2Ge at its relaxed geometry. The functional is GGA-PBE.

Summary:
As for the crystal system: tetragonal. As for the calculated formation energy: -0.260 eV per atom. The calculation puts the calculated total energy at -22.8 eV per formula unit. Its density of states at the Fermi level is 3.2 states/eV/cell.

abc: 4.863 4.863 4.795
angles: 90.00 90.00 90.00
Positions (direct):
1 V 0.000 0.000 0.000
2 Ga 0.000 0.500 0.000
3 Ga 0.500 0.000 0.000
4 Sr 0.500 0.500 0.500
5 Ge 0.000 0.000 0.500

=====

# 3
This record from Alexandria via LeMat-Bulk describes crystalline BeHg2Pd6 at its relaxed geometry. The functional is GGA-PBE.

Summary:
As for the crystal system: orthorhombic. As for the calculated formation energy: -0.224 eV per atom. The calculation puts the calculated total energy at -37.5 eV per formula unit. Its density of states at the Fermi level is 2.8 states/eV/cell.

abc: 2.997 7.431 7.460
angles: 119.87 90.00 90.00
Positions (direct):
1 Pd 0.000 0.762 0.765
2 Pd 0.000 0.997 0.235
3 Pd 0.500 0.363 0.362
4 Pd 0.500 0.629 0.000
5 Pd 0.500 0.001 0.638
6 Pd 0.000 0.245 0.000
7 Hg 0.000 0.332 0.662
8 Hg 0.000 0.669 0.338
9 Be 0.500 0.004 0.000

=====

# 4
This record from Alexandria via LeMat-Bulk describes crystalline LiNd2Hg at its relaxed geometry. The functional is GGA-PBE.

Summary:
As for the crystal system: cubic. As for the calculated formation energy: -0.206 eV per atom. The calculation puts the calculated total energy at -12.6 eV per formula unit. Its density of states at the Fermi level is 5.0 states/eV/cell.

abc: 5.392 5.392 5.392
angles: 60.00 60.00 60.00
Each line ends with the local moment (μB).
Positions (direct):
1 Li 0.500 0.500 0.500  0.01
2 Nd 0.750 0.750 0.750  0.15
3 Nd 0.250 0.250 0.250  0.15
4 Hg 0.000 0.000 0.000  0.01

=====

# 5
This record from Alexandria via LeMat-Bulk describes crystalline K3NdTh3Se8 at its relaxed geometry. The functional is GGA-PBE.

Summary:
As for the crystal system: trigonal. The calculation puts the calculated total energy at -82.7 eV per formula unit. Its density of states at the Fermi level is 9.7 states/eV/cell.

abc: 8.520 8.519 9.278
angles: 117.35 90.00 120.01
Positions (direct):
1 Se 0.732 0.971 0.711
2 Se 0.240 0.971 0.711
3 Se 0.760 0.521 0.289
4 Se 0.240 0.479 0.711
5 Se 0.261 0.522 0.284
6 Se 0.760 0.029 0.289
7 Se 0.268 0.029 0.289
8 Se 0.739 0.478 0.716
9 Nd 0.000 0.000 0.500
10 Th 0.000 0.500 0.500
11 Th 0.500 0.000 0.500
12 Th 0.500 0.500 0.500
13 K 0.000 0.000 0.000
14 K 0.000 0.500 0.000
15 K 0.500 0.500 0.000

=====

# 6
This record from Alexandria via LeMat-Bulk describes crystalline Cs2Rb3PaS6 at its relaxed geometry. The functional is GGA-PBE.

Summary:
As for the crystal system: monoclinic. The calculation puts the calculated total energy at -52.8 eV per formula unit. Its density of states at the Fermi level is 7.0 states/eV/cell.

abc: 8.342 8.342 7.992
angles: 100.65 100.65 119.39
Each line ends with the local moment (μB).
Positions (direct):
1 Rb 0.168 0.832 0.500  0.01
2 Rb 0.832 0.168 0.500  0.01
3 Rb 0.500 0.500 0.500  0.01
4 S 0.813 0.813 0.203  0.22
5 S 0.330 0.070 0.213  0.21
6 S 0.070 0.330 0.213  0.21
7 S 0.187 0.187 0.797  0.22
8 S 0.670 0.930 0.787  0.21
9 S 0.930 0.670 0.787  0.21
10 Cs 0.666 0.334 0.000  0.01
11 Cs 0.334 0.666 0.000  0.01
12 Pa 0.000 0.000 0.000  -0.16

=====

# 7
This record from Alexandria via LeMat-Bulk describes crystalline NbSnSb2Pb at its relaxed geometry. The functional is GGA-PBE.

Summary:
As for the crystal system: tetragonal. The calculation puts the calculated total energy at -20.9 eV per formula unit. Its density of states at the Fermi level is 4.3 states/eV/cell.

abc: 5.677 5.304 5.677
angles: 90.00 90.00 90.00
Each line ends with the local moment (μB).
Positions (direct):
1 Sn 0.000 0.000 0.000  0.02
2 Sb 0.000 0.000 0.500  -0.05
3 Sb 0.500 0.000 0.000  -0.07
4 Pb 0.500 0.500 0.500  0.03
5 Nb 0.000 0.500 0.000  2.12

=====

# 8
This record from Alexandria via LeMat-Bulk describes crystalline CoNiW2 at its relaxed geometry. The functional is GGA-PBE.

Summary:
As for the crystal system: tetragonal. As for the calculated formation energy: 0.618 eV per atom. The calculation puts the calculated total energy at -36.3 eV per formula unit. Its density of states at the Fermi level is 7.6 states/eV/cell.

abc: 6.660 6.660 5.375
angles: 51.72 51.72 90.00
Positions (direct):
1 W 0.375 0.390 0.750
2 W 0.875 0.860 0.750
3 W 0.140 0.625 0.250
4 W 0.610 0.125 0.250
5 Co 0.250 0.750 0.500
6 Co 0.500 0.500 0.000
7 Ni 0.750 0.250 0.500
8 Ni 0.000 0.000 0.000

=====

# 9
This record from Alexandria via LeMat-Bulk describes crystalline SrZn2Cr at its relaxed geometry. The functional is GGA-PBE.

Summary:
As for the crystal system: monoclinic. As for the calculated formation energy: 0.113 eV per atom. The calculation puts the calculated total energy at -13.4 eV per formula unit. Its density of states at the Fermi level is 2.1 states/eV/cell.

abc: 4.476 4.476 6.087
angles: 68.33 68.33 60.03
Each line ends with the local moment (μB).
Positions (direct):
1 Zn 0.059 0.059 0.822  -0.04
2 Zn 0.749 0.749 0.752  -0.04
3 Cr 0.442 0.442 0.675  3.54
4 Sr 0.250 0.250 0.251  0.04

=====

# 10
This record from Alexandria via LeMat-Bulk describes crystalline KSbMo2 at its relaxed geometry. The functional is GGA-PBE.

Summary:
As for the crystal system: orthorhombic. The calculation puts the calculated total energy at -23.4 eV per formula unit. Its density of states at the Fermi level is 2.6 states/eV/cell.

abc: 6.281 6.281 6.281
angles: 150.62 126.10 62.58
Each line ends with the local moment (μB).
Positions (direct):
1 Mo 0.216 0.716 0.500  0.43
2 Mo 0.055 0.055 0.000  -0.18
3 K 0.763 0.263 0.500  0.02
4 Sb 0.466 0.466 0.000  0.01

=====

# 11
This record from Alexandria via LeMat-Bulk describes crystalline Dy4Rh2Pb5 at its relaxed geometry. The functional is GGA-PBE.

Summary:
As for the crystal system: monoclinic. As for the calculated formation energy: -0.572 eV per atom. The calculation puts the calculated total energy at -57.9 eV per formula unit. Its density of states at the Fermi level is 4.8 states/eV/cell.

abc: 3.622 8.074 9.818
angles: 93.57 90.00 90.00
Positions (direct):
1 Dy 0.500 0.802 0.570
2 Dy 0.500 0.199 0.839
3 Dy 0.500 0.801 0.161
4 Dy 0.500 0.198 0.430
5 Pb 0.000 0.460 0.661
6 Pb 0.000 0.140 0.133
7 Pb 0.000 0.540 0.339
8 Pb 0.000 0.860 0.867
9 Pb 0.000 0.500 0.000
10 Rh 0.000 0.916 0.364
11 Rh 0.000 0.084 0.636

=====

# 12
This record from Alexandria via LeMat-Bulk describes crystalline Mn2TcCl at its relaxed geometry. The functional is GGA-PBE.

Summary:
As for the crystal system: tetragonal. The calculation puts the calculated total energy at -27.0 eV per formula unit. Its density of states at the Fermi level is 4.9 states/eV/cell.

abc: 5.289 5.289 6.112
angles: 64.36 64.36 90.00
Positions (direct):
1 Mn 0.875 0.859 0.750
2 Mn 0.609 0.125 0.250
3 Mn 0.141 0.625 0.250
4 Mn 0.375 0.391 0.750
5 Cl 0.500 0.500 0.000
6 Cl 0.250 0.750 0.500
7 Tc 0.000 0.000 0.000
8 Tc 0.750 0.250 0.500

=====

Question: Which of these has the lowest calculated total energy?
Answer: K3NdTh3Se8

=====

Question: calculated total energy of number 6 (Cs2Rb3PaS6)?
Answer: -52.8 eV per formula unit